Record 1
VASP calculation (PBE) on crystalline Ca2Al2Si at its relaxed geometry.

Output
Its space group is I4/mmm (139). As for the calculated total energy: -34.48 eV/cell. The calculation puts the total magnetization at 0.0 μB/cell. The value obtained for the raw formation energy is -0.327 eV per formula unit.

Unit cell a=3.687 b=3.687 c=18.596 alpha=90.00 beta=90.00 gamma=90.00
Positions (direct):
Ca: 0.000 0.000 0.096
Ca: 0.000 0.000 0.904
Ca: 0.500 0.500 0.404
Ca: 0.500 0.500 0.596
Al: 0.000 0.500 0.250
Al: 0.000 0.500 0.750
Al: 0.500 0.000 0.250
Al: 0.500 0.000 0.750
Si: 0.000 0.000 0.500
Si: 0.500 0.500 0.000



Record 2
VASP calculation (PBE) on crystalline CaAl2Si at its relaxed geometry.

Output
Its space group is Imm2 (44). As for the calculated total energy: -30.34 eV/cell. The calculation puts the total magnetization at 0.0 μB/cell. The value obtained for the raw formation energy is -0.260 eV per formula unit.

Unit cell a=3.947 b=4.244 c=9.837 alpha=90.00 beta=90.00 gamma=90.00
Positions (direct):
Ca: 0.000 0.000 0.000
Ca: 0.500 0.500 0.500
Al: 0.000 0.000 0.410
Al: 0.000 0.500 0.232
Al: 0.500 0.000 0.732
Al: 0.500 0.500 0.910
Si: 0.000 0.500 0.738
Si: 0.500 0.000 0.238



Record 3
VASP calculation (PBE) on crystalline CaAl2Si at its relaxed geometry.

Output
Its space group is Pmmm (47). As for the calculated total energy: -15.20 eV/cell. The calculation puts the total magnetization at 0.0 μB/cell. The value obtained for the raw formation energy is -0.290 eV per formula unit.

Unit cell a=3.323 b=3.469 c=7.018 alpha=90.00 beta=90.00 gamma=90.00
Positions (direct):
Ca: 0.000 0.000 0.000
Al: 0.500 0.500 0.312
Al: 0.500 0.500 0.688
Si: 0.000 0.000 0.500



Record 4
VASP calculation (PBE) on crystalline CaAl2Si at its relaxed geometry.

Output
Its space group is F-43m (216). As for the calculated total energy: -58.16 eV/cell. The calculation puts the total magnetization at 0.0 μB/cell. The value obtained for the raw formation energy is 0.369 eV per formula unit.

Unit cell a=6.838 b=6.838 c=6.838 alpha=90.00 beta=90.00 gamma=90.00
Positions (direct):
Ca: 0.000 0.000 0.000
Ca: 0.000 0.500 0.500
Ca: 0.500 0.000 0.500
Ca: 0.500 0.500 0.000
Al: 0.000 0.000 0.500
Al: 0.000 0.500 0.000
Al: 0.250 0.250 0.250
Al: 0.250 0.750 0.750
Al: 0.500 0.000 0.000
Al: 0.500 0.500 0.500
Al: 0.750 0.250 0.750
Al: 0.750 0.750 0.250
Si: 0.250 0.250 0.750
Si: 0.250 0.750 0.250
Si: 0.750 0.250 0.250
Si: 0.750 0.750 0.750



Record 5
VASP calculation (PBE) on crystalline Ca4Al3Si at its relaxed geometry.

Output
Its space group is Pmm2 (25). As for the calculated total energy: -27.10 eV/cell. The calculation puts the total magnetization at 0.0 μB/cell. The value obtained for the raw formation energy is -2.446 eV per formula unit.

Unit cell a=4.183 b=4.551 c=11.426 alpha=90.00 beta=90.00 gamma=90.00
Positions (direct):
Ca: 0.000 0.000 0.000
Ca: 0.000 0.500 0.485
Ca: 0.500 0.000 0.703
Ca: 0.500 0.500 0.210
Al: 0.000 0.500 0.779
Al: 0.500 0.000 0.409
Al: 0.500 0.500 0.920
Si: 0.000 0.000 0.280



Record 6
VASP calculation (PBE) on crystalline Ca2Al2Si at its relaxed geometry.

Output
Its space group is P4/mbm (127). As for the calculated total energy: -35.67 eV/cell. The calculation puts the total magnetization at 0.0 μB/cell. The value obtained for the raw formation energy is -0.924 eV per formula unit.

Unit cell a=6.919 b=6.919 c=4.870 alpha=90.00 beta=90.00 gamma=90.00
Positions (direct):
Ca: 0.173 0.327 0.000
Ca: 0.327 0.827 0.000
Ca: 0.673 0.173 0.000
Ca: 0.827 0.673 0.000
Al: 0.135 0.635 0.500
Al: 0.365 0.135 0.500
Al: 0.635 0.865 0.500
Al: 0.865 0.365 0.500
Si: 0.000 0.000 0.500
Si: 0.500 0.500 0.500